RbBaCl2 | the Alexandria database | meta-GGA SCAN | single point on PBEsol structure; formation energy from raw total energies = -1.830 eV/atom
1.0
0.000 3.844 3.844
3.844 0.000 3.844
3.844 3.844 0.000
Rb Ba Cl
1 1 2
direct
0.000 0.000 0.000
0.500 0.500 0.500
0.250 0.250 0.250
0.750 0.750 0.750

=====

Rb3ScOs | the Alexandria database | meta-GGA SCAN | single point on PBEsol structure; ΔH_f (0 K) = 2.193 eV per atom
1.0
6.654 0.000 0.000
0.000 6.654 0.000
0.000 0.000 6.654
Rb Sc Os
3 1 1
direct
0.000 0.000 0.500
0.000 0.500 0.000
0.500 0.000 0.000
0.000 0.000 0.000
0.500 0.500 0.500

=====

The following Fermi-level density of states values (in states/eV/atom) correspond, in order, to the records above: 0.636; 3.863.